The following is a DFT calculation (PBE-GGA) of a relaxed La4CoCl5 crystal.

Output
total energy	-5.27	eV per atom

CIF file:
```
data_La4CoCl5
_space_group_name_H-M_alt 'P 1'
_space_group_IT_number 1
_cell_length_a 9.592
_cell_length_b 9.592
_cell_length_c 8.487
_cell_angle_alpha 108.27
_cell_angle_beta 108.27
_cell_angle_gamma 23.63
loop_
_space_group_symop_operation_xyz
'x,y,z'
loop_
_atom_site_label
_atom_site_fract_x
_atom_site_fract_y
_atom_site_fract_z
_atom_site_occupancy
La1 0.003 0.003 0.283 1
La2 0.337 0.337 0.370 1
La3 0.663 0.663 0.630 1
La4 0.997 0.997 0.717 1
Co1 0.500 0.500 0.500 1
Cl1 0.164 0.164 0.879 1
Cl2 0.172 0.172 0.372 1
Cl3 0.500 0.500 0.000 1
Cl4 0.828 0.828 0.628 1
Cl5 0.836 0.836 0.121 1
```

***

The following is a DFT calculation (PBE-GGA) of a relaxed LiNb2As crystal.

Output
total energy	-6.62	eV per atom

CIF file:
```
data_LiNb2As
_space_group_name_H-M_alt 'P 1'
_space_group_IT_number 1
_cell_length_a 6.370
_cell_length_b 6.370
_cell_length_c 6.370
_cell_angle_alpha 90.00
_cell_angle_beta 90.00
_cell_angle_gamma 90.00
loop_
_space_group_symop_operation_xyz
'x,y,z'
loop_
_atom_site_label
_atom_site_fract_x
_atom_site_fract_y
_atom_site_fract_z
_atom_site_occupancy
Li1 0.000 0.000 0.000 1
Li2 0.000 0.500 0.500 1
Li3 0.500 0.000 0.500 1
Li4 0.500 0.500 0.000 1
Nb1 0.000 0.000 0.500 1
Nb2 0.000 0.500 0.000 1
Nb3 0.250 0.250 0.250 1
Nb4 0.250 0.750 0.750 1
Nb5 0.500 0.000 0.000 1
Nb6 0.500 0.500 0.500 1
Nb7 0.750 0.250 0.750 1
Nb8 0.750 0.750 0.250 1
As1 0.250 0.250 0.750 1
As2 0.250 0.750 0.250 1
As3 0.750 0.250 0.250 1
As4 0.750 0.750 0.750 1
```

***

The following is a DFT calculation (PBE-GGA) of a relaxed ZrCoNiAs crystal.

Output
E above lowest polymorph	0.000	eV/atom

CIF file:
```
data_ZrCoNiAs
_space_group_name_H-M_alt 'P 1'
_space_group_IT_number 1
_cell_length_a 6.108
_cell_length_b 6.108
_cell_length_c 6.108
_cell_angle_alpha 90.00
_cell_angle_beta 90.00
_cell_angle_gamma 90.00
loop_
_space_group_symop_operation_xyz
'x,y,z'
loop_
_atom_site_label
_atom_site_fract_x
_atom_site_fract_y
_atom_site_fract_z
_atom_site_occupancy
Zr1 0.000 0.000 0.000 1
Zr2 0.000 0.500 0.500 1
Zr3 0.500 0.000 0.500 1
Zr4 0.500 0.500 0.000 1
Co1 0.250 0.250 0.750 1
Co2 0.250 0.750 0.250 1
Co3 0.750 0.250 0.250 1
Co4 0.750 0.750 0.750 1
Ni1 0.250 0.250 0.250 1
Ni2 0.250 0.750 0.750 1
Ni3 0.750 0.250 0.750 1
Ni4 0.750 0.750 0.250 1
As1 0.000 0.000 0.500 1
As2 0.000 0.500 0.000 1
As3 0.500 0.000 0.000 1
As4 0.500 0.500 0.500 1
```

***

The following is a DFT calculation (PBE-GGA) of a relaxed PmBi2 crystal.

Output
E above lowest polymorph	0.000	eV/atom

CIF file:
```
data_PmBi2
_space_group_name_H-M_alt 'P 1'
_space_group_IT_number 1
_cell_length_a 7.333
_cell_length_b 7.333
_cell_length_c 7.149
_cell_angle_alpha 90.00
_cell_angle_beta 90.00
_cell_angle_gamma 90.00
loop_
_space_group_symop_operation_xyz
'x,y,z'
loop_
_atom_site_label
_atom_site_fract_x
_atom_site_fract_y
_atom_site_fract_z
_atom_site_occupancy
Pm1 0.000 0.000 0.250 1
Pm2 0.000 0.000 0.750 1
Pm3 0.500 0.500 0.250 1
Pm4 0.500 0.500 0.750 1
Bi1 0.147 0.353 0.000 1
Bi2 0.147 0.647 0.500 1
Bi3 0.353 0.147 0.500 1
Bi4 0.353 0.853 0.000 1
Bi5 0.647 0.147 0.000 1
Bi6 0.647 0.853 0.500 1
Bi7 0.853 0.353 0.500 1
Bi8 0.853 0.647 0.000 1
```

***

The following is a DFT calculation (PBE-GGA) of a relaxed SmDyNb crystal.

Output
E above lowest polymorph	0.000	eV/atom
DFT formation energy	0.802	eV per atom

CIF file:
```
data_SmDyNb
_space_group_name_H-M_alt 'P 1'
_space_group_IT_number 1
_cell_length_a 7.207
_cell_length_b 7.207
_cell_length_c 7.207
_cell_angle_alpha 90.00
_cell_angle_beta 90.00
_cell_angle_gamma 90.00
loop_
_space_group_symop_operation_xyz
'x,y,z'
loop_
_atom_site_label
_atom_site_fract_x
_atom_site_fract_y
_atom_site_fract_z
_atom_site_occupancy
Sm1 0.000 0.000 0.000 1
Sm2 0.000 0.500 0.500 1
Sm3 0.500 0.000 0.500 1
Sm4 0.500 0.500 0.000 1
Dy1 0.000 0.000 0.500 1
Dy2 0.000 0.500 0.000 1
Dy3 0.500 0.000 0.000 1
Dy4 0.500 0.500 0.500 1
Nb1 0.250 0.250 0.750 1
Nb2 0.250 0.750 0.250 1
Nb3 0.750 0.250 0.250 1
Nb4 0.750 0.750 0.750 1
```

***

The following is a DFT calculation (PBE-GGA) of a relaxed PmNpAg crystal.

Output
E above lowest polymorph	0.000	eV/atom
DFT formation energy	0.832	eV per atom

CIF file:
```
data_PmNpAg
_space_group_name_H-M_alt 'P 1'
_space_group_IT_number 1
_cell_length_a 6.953
_cell_length_b 6.953
_cell_length_c 6.953
_cell_angle_alpha 90.00
_cell_angle_beta 90.00
_cell_angle_gamma 90.00
loop_
_space_group_symop_operation_xyz
'x,y,z'
loop_
_atom_site_label
_atom_site_fract_x
_atom_site_fract_y
_atom_site_fract_z
_atom_site_occupancy
Pm1 0.000 0.000 0.000 1
Pm2 0.000 0.500 0.500 1
Pm3 0.500 0.000 0.500 1
Pm4 0.500 0.500 0.000 1
Np1 0.250 0.250 0.750 1
Np2 0.250 0.750 0.250 1
Np3 0.750 0.250 0.250 1
Np4 0.750 0.750 0.750 1
Ag1 0.000 0.000 0.500 1
Ag2 0.000 0.500 0.000 1
Ag3 0.500 0.000 0.000 1
Ag4 0.500 0.500 0.500 1
```

***

The following is a DFT calculation (PBE-GGA) of a relaxed PuTh crystal.

Output
E above lowest polymorph	0.650	eV/atom
DFT formation energy	0.766	eV per atom

CIF file:
```
data_PuTh
_space_group_name_H-M_alt 'P 1'
_space_group_IT_number 1
_cell_length_a 6.364
_cell_length_b 6.364
_cell_length_c 6.364
_cell_angle_alpha 90.00
_cell_angle_beta 90.00
_cell_angle_gamma 90.00
loop_
_space_group_symop_operation_xyz
'x,y,z'
loop_
_atom_site_label
_atom_site_fract_x
_atom_site_fract_y
_atom_site_fract_z
_atom_site_occupancy
Pu1 0.000 0.000 0.000 1
Pu2 0.000 0.500 0.500 1
Pu3 0.500 0.000 0.500 1
Pu4 0.500 0.500 0.000 1
Th1 0.000 0.000 0.500 1
Th2 0.000 0.500 0.000 1
Th3 0.500 0.000 0.000 1
Th4 0.500 0.500 0.500 1
```

***

The following is a DFT calculation (PBE-GGA) of a relaxed Nd6Fe13Bi crystal.

Output
total energy	-7.13	eV per atom

CIF file:
```
data_Nd6Fe13Bi
_space_group_name_H-M_alt 'P 1'
_space_group_IT_number 1
_cell_length_a 13.047
_cell_length_b 13.047
_cell_length_c 13.047
_cell_angle_alpha 144.14
_cell_angle_beta 144.14
_cell_angle_gamma 51.62
loop_
_space_group_symop_operation_xyz
'x,y,z'
loop_
_atom_site_label
_atom_site_fract_x
_atom_site_fract_y
_atom_site_fract_z
_atom_site_occupancy
Nd1 0.023 0.523 0.177 1
Nd2 0.103 0.103 0.000 1
Nd3 0.155 0.977 0.500 1
Nd4 0.345 0.845 0.823 1
Nd5 0.397 0.397 0.000 1
Nd6 0.477 0.655 0.500 1
Nd7 0.523 0.345 0.500 1
Nd8 0.603 0.603 0.000 1
Nd9 0.655 0.155 0.177 1
Nd10 0.845 0.023 0.500 1
Nd11 0.897 0.897 0.000 1
Nd12 0.977 0.477 0.823 1
Fe1 0.000 0.500 0.500 1
Fe2 0.020 0.293 0.500 1
Fe3 0.067 0.210 0.277 1
Fe4 0.120 0.620 0.857 1
Fe5 0.207 0.480 0.500 1
Fe6 0.210 0.933 0.143 1
Fe7 0.237 0.737 0.857 1
Fe8 0.263 0.120 0.500 1
Fe9 0.290 0.433 0.723 1
Fe10 0.293 0.793 0.273 1
Fe11 0.380 0.237 0.500 1
Fe12 0.433 0.710 0.143 1
Fe13 0.480 0.980 0.273 1
Fe14 0.500 0.000 0.500 1
Fe15 0.520 0.020 0.727 1
Fe16 0.567 0.290 0.857 1
Fe17 0.620 0.763 0.500 1
Fe18 0.707 0.207 0.727 1
Fe19 0.710 0.567 0.277 1
Fe20 0.737 0.880 0.500 1
Fe21 0.763 0.263 0.143 1
Fe22 0.790 0.067 0.857 1
Fe23 0.793 0.520 0.500 1
Fe24 0.880 0.380 0.143 1
Fe25 0.933 0.790 0.723 1
Fe26 0.980 0.707 0.500 1
Bi1 0.250 0.250 0.000 1
Bi2 0.750 0.750 0.000 1
```

***

The following is a DFT calculation (PBE-GGA) of a relaxed MgCuSb crystal.

Output
total energy	-3.24	eV per atom

CIF file:
```
data_MgCuSb
_space_group_name_H-M_alt 'P 1'
_space_group_IT_number 1
_cell_length_a 4.384
_cell_length_b 4.384
_cell_length_c 7.489
_cell_angle_alpha 90.00
_cell_angle_beta 90.00
_cell_angle_gamma 120.00
loop_
_space_group_symop_operation_xyz
'x,y,z'
loop_
_atom_site_label
_atom_site_fract_x
_atom_site_fract_y
_atom_site_fract_z
_atom_site_occupancy
Mg1 0.000 0.000 0.000 1
Mg2 0.000 0.000 0.500 1
Cu1 0.333 0.667 0.250 1
Cu2 0.667 0.333 0.750 1
Sb1 0.333 0.667 0.750 1
Sb2 0.667 0.333 0.250 1
```

***

The following is a DFT calculation (PBE-GGA) of a relaxed Tb3Se2ClO8 crystal.

Output
total energy	-6.82	eV per atom

CIF file:
```
data_Tb3Se2ClO8
_space_group_name_H-M_alt 'P 1'
_space_group_IT_number 1
_cell_length_a 5.336
_cell_length_b 15.184
_cell_length_c 10.732
_cell_angle_alpha 90.00
_cell_angle_beta 90.00
_cell_angle_gamma 90.00
loop_
_space_group_symop_operation_xyz
'x,y,z'
loop_
_atom_site_label
_atom_site_fract_x
_atom_site_fract_y
_atom_site_fract_z
_atom_site_occupancy
Tb1 0.014 0.075 0.134 1
Tb2 0.014 0.425 0.134 1
Tb3 0.030 0.250 0.359 1
Tb4 0.470 0.750 0.859 1
Tb5 0.486 0.575 0.634 1
Tb6 0.486 0.925 0.634 1
Tb7 0.514 0.075 0.366 1
Tb8 0.514 0.425 0.366 1
Tb9 0.530 0.250 0.141 1
Tb10 0.970 0.750 0.641 1
Tb11 0.986 0.575 0.866 1
Tb12 0.986 0.925 0.866 1
Se1 0.046 0.601 0.372 1
Se2 0.046 0.899 0.372 1
Se3 0.454 0.101 0.872 1
Se4 0.454 0.399 0.872 1
Se5 0.546 0.601 0.128 1
Se6 0.546 0.899 0.128 1
Se7 0.954 0.101 0.628 1
Se8 0.954 0.399 0.628 1
Cl1 0.085 0.250 0.001 1
Cl2 0.415 0.750 0.501 1
Cl3 0.585 0.250 0.499 1
Cl4 0.915 0.750 0.999 1
O1 0.118 0.011 0.685 1
O2 0.118 0.489 0.685 1
O3 0.125 0.131 0.500 1
O4 0.125 0.369 0.500 1
O5 0.192 0.051 0.939 1
O6 0.192 0.449 0.939 1
O7 0.228 0.658 0.749 1
O8 0.228 0.842 0.749 1
O9 0.272 0.158 0.249 1
O10 0.272 0.342 0.249 1
O11 0.308 0.551 0.439 1
O12 0.308 0.949 0.439 1
O13 0.375 0.631 0.000 1
O14 0.375 0.869 0.000 1
O15 0.382 0.511 0.185 1
O16 0.382 0.989 0.185 1
O17 0.618 0.011 0.815 1
O18 0.618 0.489 0.815 1
O19 0.625 0.131 0.000 1
O20 0.625 0.369 0.000 1
O21 0.692 0.051 0.561 1
O22 0.692 0.449 0.561 1
O23 0.728 0.658 0.751 1
O24 0.728 0.842 0.751 1
O25 0.772 0.158 0.251 1
O26 0.772 0.342 0.251 1
O27 0.808 0.551 0.061 1
O28 0.808 0.949 0.061 1
O29 0.875 0.631 0.500 1
O30 0.875 0.869 0.500 1
O31 0.882 0.511 0.315 1
O32 0.882 0.989 0.315 1
```

***

The following is a DFT calculation (PBE-GGA) of a relaxed UTcPt2 crystal.

Output
DFT formation energy	-0.602	eV per atom

CIF file:
```
data_UTcPt2
_space_group_name_H-M_alt 'P 1'
_space_group_IT_number 1
_cell_length_a 3.965
_cell_length_b 3.965
_cell_length_c 4.347
_cell_angle_alpha 90.00
_cell_angle_beta 90.00
_cell_angle_gamma 90.00
loop_
_space_group_symop_operation_xyz
'x,y,z'
loop_
_atom_site_label
_atom_site_fract_x
_atom_site_fract_y
_atom_site_fract_z
_atom_site_occupancy
U1 0.000 0.000 0.000 1
Tc1 0.500 0.500 0.000 1
Pt1 0.000 0.500 0.500 1
Pt2 0.500 0.000 0.500 1
```

***

The following is a DFT calculation (PBE-GGA) of a relaxed InPb5Au3 crystal.

Output
total energy	-3.41	eV per atom

CIF file:
```
data_InPb5Au3
_space_group_name_H-M_alt 'P 1'
_space_group_IT_number 1
_cell_length_a 5.888
_cell_length_b 5.888
_cell_length_c 8.526
_cell_angle_alpha 90.00
_cell_angle_beta 90.00
_cell_angle_gamma 120.00
loop_
_space_group_symop_operation_xyz
'x,y,z'
loop_
_atom_site_label
_atom_site_fract_x
_atom_site_fract_y
_atom_site_fract_z
_atom_site_occupancy
In1 0.000 0.000 0.000 1
Pb1 0.000 0.000 0.500 1
Pb2 0.333 0.667 0.197 1
Pb3 0.333 0.667 0.803 1
Pb4 0.667 0.333 0.197 1
Pb5 0.667 0.333 0.803 1
Au1 0.000 0.500 0.500 1
Au2 0.500 0.000 0.500 1
Au3 0.500 0.500 0.500 1
```